24
Lattice="9.262 0.000 -0.937 0.000 8.454 0.000 -0.138 0.000 5.417" Properties=species:S:1:pos:R:3 comment="PBE Cd3H2Rh, relaxed" energy_ha_per_atom=-0.1056 n_ef_per_ev_fu=0.155 space_group=P2_1/c pbc="T T T"
Cd 3.328 6.547 4.707
Cd 1.095 2.320 2.950
Cd 5.796 1.907 -0.227
Cd 8.028 6.135 1.530
Cd 3.168 3.610 4.597
Cd 1.256 7.837 3.060
Cd 5.956 4.844 -0.117
Cd 7.868 0.617 1.421
Cd 1.054 4.840 0.909
Cd 3.508 0.612 1.331
Cd 8.070 3.615 3.571
Cd 5.616 7.842 3.149
H 7.134 7.550 -0.613
H 6.689 3.323 1.916
H 1.989 0.904 5.093
H 2.434 5.131 2.564
H 4.892 6.595 1.461
H 8.932 2.368 -0.158
H 4.232 1.859 3.019
H 0.192 6.086 4.638
Rh 5.821 7.493 0.429
Rh 8.003 3.266 0.875
Rh 3.303 0.961 4.052
Rh 1.120 5.188 3.606



6
Lattice="-3.573 -3.245 2.293 1.431 -3.039 4.157 -1.865 1.105 4.885" Properties=species:S:1:pos:R:3 comment="PBE PmPaSi4, relaxed" energy_ha_per_atom=-0.2293 n_ef_per_ev_fu=5.463 space_group=F-43m polymorph_energy_kj_per_mol_fu=172.1 pbc="T T T"
Si -1.567 -3.803 4.631
Si -3.233 -1.708 4.999
Si -2.510 -3.244 7.100
Si -0.704 -1.604 5.941
Pa -1.002 -1.295 2.834
Pm 0.000 0.000 0.000



8
Lattice="7.047 0.000 0.000 0.000 7.047 0.000 3.524 3.524 8.595" Properties=species:S:1:pos:R:3 comment="PBE RbY2Ge, relaxed" energy_ha_per_atom=-0.1556 n_ef_per_ev_fu=4.087 e_form_ev_per_atom=0.39 space_group=I4_1/amd pbc="T T T"
Y 3.524 1.762 2.149
Y 3.524 5.286 2.149
Y 5.286 7.048 6.446
Y 8.809 7.047 6.446
Ge 3.524 3.524 0.000
Ge 3.524 7.047 4.297
Rb 0.000 0.000 0.000
Rb 7.047 3.524 4.297



5
Lattice="4.954 0.000 0.000 0.000 4.922 0.000 0.000 0.000 4.954" Properties=species:S:1:pos:R:3 comment="PBE In2NiSbAs, relaxed" energy_ha_per_atom=-0.1406 n_ef_per_ev_fu=2.472 space_group=P4/mmm pbc="T T T"
Sb 0.000 2.461 0.000
As 2.477 2.461 2.477
Ni 0.000 0.000 0.000
In 0.000 0.000 2.477
In 2.477 0.000 0.000



10
Lattice="8.752 0.000 0.000 0.000 8.752 0.000 0.000 0.000 3.704" Properties=species:S:1:pos:R:3 comment="PBE Bi2As2I, relaxed" energy_ha_per_atom=-0.1294 n_ef_per_ev_fu=4.763 space_group=P4/mbm polymorph_energy_kj_per_mol_fu=112.5 pbc="T T T"
I 0.000 0.000 0.000
I 4.376 4.376 0.000
As 3.229 7.606 0.000
As 7.606 5.523 0.000
As 5.523 1.147 0.000
As 1.147 3.229 0.000
Bi 1.270 5.646 1.852
Bi 5.646 7.483 1.852
Bi 7.483 3.107 1.852
Bi 3.107 1.270 1.852



5
Lattice="4.673 0.000 0.000 0.000 4.673 0.000 0.000 0.000 6.856" Properties=species:S:1:pos:R:3 comment="PBE CsSnIN2, relaxed" energy_ha_per_atom=-0.0981 n_ef_per_ev_fu=2.256 space_group=P4/mmm polymorph_energy_kj_per_mol_fu=502.1 pbc="T T T"
Cs 0.000 0.000 0.000
I 0.000 0.000 3.428
Sn 2.337 2.337 3.428
N 0.000 2.337 0.000
N 2.337 0.000 0.000



20
Lattice="-5.219 0.829 -7.806 -4.749 -6.487 3.205 -1.733 8.028 2.729" Properties=species:S:1:pos:R:3 comment="PBE DyHo2Er6Tm, relaxed" energy_ha_per_atom=-0.1631 n_ef_per_ev_fu=13.615 e_form_ev_per_atom=0.12 space_group=C2/c pbc="T T T"
Dy -5.984 -5.946 1.243
Dy -5.717 8.316 -3.114
Ho -7.398 0.765 0.921
Ho -2.013 -0.346 1.161
Ho -4.303 1.605 -2.793
Ho -9.689 2.716 -3.033
Er -2.193 5.262 2.011
Er -5.012 5.773 -0.277
Er -9.509 -2.892 -3.882
Er -6.689 -3.403 -1.595
Er -7.048 -2.654 1.858
Er -3.707 -3.395 0.436
Er -4.653 5.024 -3.730
Er -7.995 5.764 -2.308
Er -4.853 -0.523 2.698
Er -4.883 -0.624 -0.565
Er -6.848 2.893 -4.570
Er -6.818 2.994 -1.307
Tm -4.271 2.300 0.972
Tm -7.430 0.070 -2.844



10
Lattice="-3.809 -4.611 1.977 5.435 0.757 2.202 -2.081 6.318 10.726" Properties=species:S:1:pos:R:3 comment="PBE Cs2AgSn2, relaxed" energy_ha_per_atom=-0.0958 n_ef_per_ev_fu=2.179 e_form_ev_per_atom=-0.09 space_group=C2/c polymorph_energy_kj_per_mol_fu=0.0 pbc="T T T"
Cs 0.060 -0.682 3.551
Cs 2.427 2.288 5.004
Cs -0.514 3.146 11.354
Cs -2.881 0.176 9.900
Ag -3.379 -1.881 4.165
Ag -2.511 3.588 8.538
Sn 0.950 0.613 8.282
Sn -2.270 -3.616 2.249
Sn -1.404 1.850 6.623
Sn 1.815 6.079 12.655



11
Lattice="4.873 0.531 0.403 0.719 7.148 0.870 0.719 2.763 6.650" Properties=species:S:1:pos:R:3 comment="PBE GaAg8Au2, relaxed" energy_ha_per_atom=-0.1045 n_ef_per_ev_fu=4.012 e_form_ev_per_atom=0.10 space_group=C2/m polymorph_energy_kj_per_mol_fu=117.9 pbc="T T T"
Ga 0.000 0.000 0.000
Ag 1.808 4.896 5.457
Ag 4.503 3.868 4.677
Ag 1.450 7.693 5.837
Ag 4.862 2.749 2.086
Ag 1.808 6.574 3.246
Ag 4.503 5.546 2.466
Ag 4.098 6.742 5.116
Ag 2.213 3.700 2.807
Au 3.707 8.987 6.819
Au 2.605 1.456 1.104



7
Lattice="-4.032 1.173 0.131 1.793 -0.950 -3.679 -3.507 -12.209 1.443" Properties=species:S:1:pos:R:3 comment="PBE Ac2TeSe2O2, relaxed" energy_ha_per_atom=-0.2216 n_ef_per_ev_fu=1.618 space_group=P-3m1 pbc="T T T"
Ac -3.403 -4.104 -0.599
Ac -2.343 -7.882 -1.506
Te 0.000 0.000 0.000
Se -0.725 -2.525 0.299
Se -2.781 -9.684 1.145
O -4.098 -6.524 -0.313
O -1.648 -5.462 -1.792



Number 1: total magnetization 0.0 μB/cell. Number 2: total magnetization 0.0 μB/cell. Number 3: total magnetization 0.0 μB/cell. Number 4: total magnetization 0.0 μB/cell. Number 5: total magnetization 0.0 μB/cell. Number 6: total magnetization 1.3 μB/cell. Number 7: total magnetization 0.0 μB/cell. Number 8: total magnetization 0.0 μB/cell. Number 9: total magnetization 0.0 μB/cell. Number 10: total magnetization 0.0 μB/cell.